No. 1
! Co2HS2 GGA-PBEsol optimized geometry; values from VASP
&SYSTEM
  ibrav = 0, nat = 5, ntyp = 3
/
ATOMIC_SPECIES
Co 58.93 Co.upf
S 32.06 S.upf
H 1.01 H.upf
CELL_PARAMETERS angstrom
3.435 0.000 0.000
0.000 3.435 0.000
-1.717 -1.717 5.807
ATOMIC_POSITIONS crystal
Co 0.750 0.250 0.500
Co 0.250 0.750 0.500
S 0.638 0.638 0.275
S 0.362 0.362 0.725
H 0.000 0.000 0.000
! Symmetry: No. 139
! DOS(E_F) in states/eV/f.u.: 2.67
! V in Å³/cell: 69
! Total magnetization in μB per formula unit: 0.3
! Electronic total energy in eV/atom: -5.461

No. 2
! CoSbTe2H GGA-PBEsol optimized geometry; values from VASP
&SYSTEM
  ibrav = 0, nat = 5, ntyp = 4
/
ATOMIC_SPECIES
Co 58.93 Co.upf
H 1.01 H.upf
Sb 121.76 Sb.upf
Te 127.60 Te.upf
CELL_PARAMETERS angstrom
-2.410 4.053 0.713
-0.678 -1.247 4.791
4.258 2.320 1.206
ATOMIC_POSITIONS crystal
Co 0.000 0.000 0.000
H 0.500 0.500 0.500
Sb 0.500 0.000 0.000
Te 0.000 0.000 0.500
Te 0.000 0.500 0.000
! Symmetry: No. 123
! DOS(E_F) in states/eV/f.u.: 5.83
! V in Å³/cell: 119
! Total magnetization in μB per formula unit: 1.1
! Electronic total energy in eV/atom: -3.753

No. 3
! Sc2CoH2 GGA-PBEsol optimized geometry; values from VASP
&SYSTEM
  ibrav = 0, nat = 5, ntyp = 3
/
ATOMIC_SPECIES
Sc 44.96 Sc.upf
H 1.01 H.upf
Co 58.93 Co.upf
CELL_PARAMETERS angstrom
-2.198 1.984 -0.945
-2.003 -1.259 2.016
3.768 3.389 3.462
ATOMIC_POSITIONS crystal
Sc 0.637 0.637 0.275
Sc 0.363 0.363 0.725
H 0.250 0.750 0.500
H 0.750 0.250 0.500
Co 0.000 0.000 0.000
! Symmetry: No. 139
! DOS(E_F) in states/eV/f.u.: 1.47
! V in Å³/cell: 55
! Total magnetization in μB per formula unit: 0.0
! Electronic total energy in eV/atom: -6.016

No. 4
! ScCoH3 GGA-PBEsol optimized geometry; values from VASP
&SYSTEM
  ibrav = 0, nat = 5, ntyp = 3
/
ATOMIC_SPECIES
H 1.01 H.upf
Co 58.93 Co.upf
Sc 44.96 Sc.upf
CELL_PARAMETERS angstrom
3.568 0.000 0.000
0.000 3.568 0.000
0.000 0.000 3.568
ATOMIC_POSITIONS crystal
H 0.500 0.000 0.000
H 0.000 0.000 0.500
H 0.000 0.500 0.000
Co 0.500 0.500 0.500
Sc 0.000 0.000 0.000
! Symmetry: No. 221
! DOS(E_F) in states/eV/f.u.: 1.87
! V in Å³/cell: 45
! Total magnetization in μB per formula unit: 1.7
! Electronic total energy in eV/atom: -4.540

No. 5
! ScCoH3 GGA-PBEsol optimized geometry; values from VASP
&SYSTEM
  ibrav = 0, nat = 5, ntyp = 3
/
ATOMIC_SPECIES
Sc 44.96 Sc.upf
H 1.01 H.upf
Co 58.93 Co.upf
CELL_PARAMETERS angstrom
-0.656 -3.018 1.176
1.583 0.748 2.802
-2.825 1.120 1.297
ATOMIC_POSITIONS crystal
Sc 0.500 0.500 0.500
H 0.000 0.500 0.000
H 0.500 0.000 0.000
H 0.000 0.000 0.500
Co 0.000 0.000 0.000
! Symmetry: No. 221
! DOS(E_F) in states/eV/f.u.: 2.84
! V in Å³/cell: 36
! Total magnetization in μB per formula unit: 0.0
! Electronic total energy in eV/atom: -5.362

No. 6
! Co2H2Se GGA-PBEsol optimized geometry; values from VASP
&SYSTEM
  ibrav = 0, nat = 10, ntyp = 3
/
ATOMIC_SPECIES
H 1.01 H.upf
Se 78.96 Se.upf
Co 58.93 Co.upf
CELL_PARAMETERS angstrom
-2.524 0.465 -0.126
-0.955 -3.989 4.414
0.604 4.382 4.091
ATOMIC_POSITIONS crystal
H 0.500 0.087 0.587
H 0.500 0.913 0.413
H 0.500 0.587 0.913
H 0.500 0.413 0.087
Se 0.000 0.000 0.000
Se 0.000 0.500 0.500
Co 0.000 0.870 0.630
Co 0.000 0.130 0.370
Co 0.000 0.370 0.870
Co 0.000 0.630 0.130
! Symmetry: No. 127
! DOS(E_F) in states/eV/f.u.: 3.24
! V in Å³/cell: 93
! Total magnetization in μB per formula unit: 1.7
! Electronic total energy in eV/atom: -4.830